MgBeSCl2 after structural relaxation. Source: Alexandria via LeMat-Bulk, functional GGA-PBE.

E_tot ... -2.7815 eV per atom
Energy relative to the elements, uncorrected ... -0.153 eV per atom
SG ... No. 123
Polymorph energy (0 for the lowest one) ... 0.555 eV/atom

Lattice parameters (Å, degrees): 4.629 5.290 4.629 90.00 90.00 90.00
Positions (direct):
1 Be 0.500 0.500 0.500
2 S 0.000 0.500 0.000
3 Mg 0.000 0.000 0.000
4 Cl 0.000 0.000 0.500
5 Cl 0.500 0.000 0.000